1.
meta-GGA SCAN YAlIn, single point on PBEsol structure; space-group type = P-6m2; crystal system = hexagonal; formation energy = -0.56 eV/atom
1.0
3.549 0.000 0.000
0.000 4.659 0.000
0.000 -2.330 4.035
In Al Y
1 1 1
direct
0.833 0.667 0.333
0.834 0.000 0.000
0.333 0.333 0.667

=====

2.
meta-GGA SCAN YAlIn, single point on PBEsol structure; space-group type = F-43m; crystal system = cubic; formation energy = -0.30 eV/atom
1.0
4.696 0.000 0.000
2.348 4.066 0.000
2.348 1.355 3.834
Y Al In
1 1 1
direct
0.500 0.500 0.500
0.250 0.250 0.250
0.000 0.000 0.000

=====

3.
meta-GGA SCAN Zr2AlIn, single point on PBEsol structure; space-group type = Pmmm; crystal system = orthorhombic; formation energy = -0.46 eV/atom
1.0
3.055 0.000 0.000
0.000 4.272 0.000
0.000 0.000 6.122
Zr In Al
2 1 1
direct
0.000 0.000 0.243
0.000 0.000 0.757
0.500 0.500 0.500
0.500 0.500 0.000